(1)
This record from Alexandria via LeMat-Bulk describes a relaxed structure of K2CdSb2. The functional is GGA-PBE.

Values from the calculation:
The value obtained for the calculated density is 3.926 Mg/m³. For the uncorrected formation energy, the calculation gives 9 meV/atom. For the excess energy over the best structure of this formula in the dataset, the calculation gives 395.2 meV per atom.

Lattice parameters (Å, degrees): 10.9027 10.9027 3.0895 90.00 90.00 90.00
Last column: nearest neighbours and their distance in Å.
Positions (direct):
Sb 0.3338 0.1662 0.5000  2 Sb 3.09
K 0.6310 0.1310 0.0000  2 K 3.09
Sb 0.1662 0.6662 0.5000  2 Sb 3.09
Cd 0.0000 0.0000 0.0000  2 Cd 3.09
K 0.3690 0.8690 0.0000  2 K 3.09
K 0.1310 0.3690 0.0000  2 K 3.09
Sb 0.8338 0.3338 0.5000  2 Sb 3.09
Cd 0.5000 0.5000 0.0000  2 Cd 3.09
Sb 0.6662 0.8338 0.5000  2 Sb 3.09
K 0.8690 0.6310 0.0000  2 K 3.09



(2)
This record from Alexandria via LeMat-Bulk describes a relaxed structure of LiFePt2. The functional is GGA-PBE.

Values from the calculation:
The value obtained for the calculated density is 13.352 Mg/m³. The value obtained for the energy of formation is -1.362 eV per formula unit.

Lattice parameters (Å, degrees): 4.7873 4.7873 4.5727 81.38 81.38 32.97
Last column: nearest neighbours and their distance in Å.
Positions (direct):
Li 0.7432 0.7432 0.7814  7 Pt 2.57-2.69, 2 Li 2.72, 1 Fe 2.75
Pt 0.2528 0.2528 0.2859  3 Fe 2.63, 4 Li 2.63-2.69, 4 Pt 2.72-2.81
Fe 0.5106 0.5106 0.4681  7 Pt 2.63-2.70, 2 Fe 2.72, 1 Li 2.75
Pt 0.9934 0.9934 0.9645  3 Li 2.57-2.68, 4 Fe 2.63-2.70, 4 Pt 2.72-2.81



(3)
This record from Alexandria via LeMat-Bulk describes a relaxed structure of ScZnPt3. The functional is GGA-PBE.

Values from the calculation:
The value obtained for the calculated density is 11.820 Mg/m³. The value obtained for the energy of formation is 0.105 eV per formula unit. For the excess energy over the best structure of this formula in the dataset, the calculation gives 596.0 meV per atom.

Lattice parameters (Å, degrees): 4.6061 4.6061 4.6061 90.00 90.00 90.00
Last column: nearest neighbours and their distance in Å.
Positions (direct):
Zn 0.0000 0.0000 0.0000  6 Pt 2.30
Pt 0.5000 0.0000 0.0000  2 Zn 2.30
Pt 0.0000 0.5000 0.0000  2 Zn 2.30
Sc 0.5000 0.5000 0.5000  12 Pt 3.26
Pt 0.0000 0.0000 0.5000  2 Zn 2.30



(4)
This record from Alexandria via LeMat-Bulk describes a relaxed structure of Zn2SbCl. The functional is GGA-PBE.

Values from the calculation:
The value obtained for the calculated density is 5.580 Mg/m³. For the uncorrected formation energy, the calculation gives 17 meV/atom. For the excess energy over the best structure of this formula in the dataset, the calculation gives 365.3 meV per atom.

Lattice parameters (Å, degrees): 3.4444 3.4444 7.2250 90.00 90.00 90.00
Last column: nearest neighbours and their distance in Å.
Positions (direct):
Cl 0.5000 0.5000 0.2500  8 Zn 3.06
Sb 0.5000 0.5000 0.7500  8 Zn 3.00
Zn 0.0000 0.0000 0.5075  4 Sb 3.00, 4 Cl 3.06
Zn 0.0000 0.0000 0.9925  4 Sb 3.00, 4 Cl 3.06



no.,V (Å³ per cell)
1,367.2
2,56.3
3,97.7
4,85.7